Entry 1:
A geometry-optimized GaRuSeO2 structure, computed with GGA-PBE.

Cell: 3.671 6.094 3.671 Å, 90.00 90.00 90.00°
Last column: magnetic moment on the atom in μB.
Fractional coordinates of all 5 atoms:
Se: 0.000 0.500 0.000  0.11
Ru: 0.500 0.500 0.500  1.87
O: 0.000 0.000 0.500  0.36
O: 0.500 0.000 0.000  0.46
Ga: 0.000 0.000 0.000  -0.02

Summary:
The calculation puts the formation energy (no corrections) at -0.050 eV per atom. The mass density is 5.7 g/cm3.


Entry 2:
A geometry-optimized K3PrPu2O9 structure, computed with GGA-PBE.

Cell: 6.149 6.149 7.562 Å, 90.00 90.00 120.00°
Last column: magnetic moment on the atom in μB.
Fractional coordinates of all 15 atoms:
O: 0.500 0.500 0.000  -0.12
O: 0.179 0.821 0.314  -0.09
O: 0.500 0.000 0.000  -0.12
O: 0.821 0.179 0.686  -0.09
O: 0.179 0.357 0.314  -0.09
O: 0.357 0.179 0.686  -0.09
O: 0.643 0.821 0.314  -0.09
O: 0.821 0.643 0.686  -0.09
O: 0.000 0.500 0.000  -0.12
Pr: 0.000 0.000 0.500  -0.01
Pu: 0.667 0.333 0.841  2.46
Pu: 0.333 0.667 0.159  2.46
K: 0.000 0.000 0.000  0.00
K: 0.333 0.667 0.665  0.00
K: 0.667 0.333 0.335  0.00

Summary:
The calculation puts the formation energy (no corrections) at -2.515 eV per atom. The mass density is 6.0 g/cm3.


Entry 3:
A geometry-optimized KLi2AgGe structure, computed with GGA-PBE.

Cell: 5.076 5.076 5.024 Å, 90.00 90.00 90.00°
Fractional coordinates of all 5 atoms:
Li: 0.500 0.000 0.000
Li: 0.000 0.500 0.000
Ag: 0.000 0.000 0.500
Ge: 0.000 0.000 0.000
K: 0.500 0.500 0.500

Summary:
The formation enthalpy at 0 K is -0.125 eV/atom. The mass density is 3.0 g/cm3.


Entry 4:
A geometry-optimized LiDyIr structure, computed with GGA-PBE.

Cell: 3.503 3.503 5.169 Å, 109.81 109.81 90.00°
Fractional coordinates of all 3 atoms:
Dy: 0.963 0.963 0.926
Li: 0.261 0.261 0.521
Ir: 0.626 0.626 0.253

Summary:
The formation enthalpy at 0 K is -0.348 eV/atom. The mass density is 10.8 g/cm3.


Entry 5:
A geometry-optimized VZn2In2 structure, computed with GGA-PBE.

Cell: 4.124 4.124 6.776 Å, 72.28 72.28 90.00°
Last column: magnetic moment on the atom in μB.
Fractional coordinates of all 5 atoms:
In: 0.750 0.250 0.500  -0.04
In: 0.250 0.750 0.500  -0.04
V: 0.000 0.000 0.000  2.77
Zn: 0.596 0.596 0.809  -0.02
Zn: 0.404 0.404 0.191  -0.02

Summary:
The formation enthalpy at 0 K is 0.476 eV/atom. The mass density is 6.6 g/cm3.


Entry 6:
A geometry-optimized ReTc2Ir structure, computed with GGA-PBE.

Cell: 9.100 9.100 9.100 Å, 17.37 17.37 17.37°
Fractional coordinates of all 4 atoms:
Ir: 0.250 0.250 0.250
Tc: 0.000 0.000 0.000
Tc: 0.500 0.500 0.500
Re: 0.750 0.750 0.750

Summary:
The formation enthalpy at 0 K is -0.040 eV/atom. The mass density is 16.3 g/cm3.


no.,uncorrected energy (eV per atom)
1,-5.1910
2,-7.9387
3,-2.6037
4,-5.4736
5,-2.9530
6,-10.5505